A plane-wave DFT calculation with PBE was carried out for a geometry-optimized Sr2ZrCu2S6 structure.

Structure (CIF):
```
data_Sr2ZrCu2S6
_cell_length_a 7.571
_cell_length_b 7.571
_cell_length_c 7.571
_cell_angle_alpha 55.23
_cell_angle_beta 55.23
_cell_angle_gamma 55.23
_symmetry_space_group_name_H-M 'P 1'
_symmetry_Int_Tables_number 1
loop_
_symmetry_equiv_pos_as_xyz
'x,y,z'
loop_
_atom_site_label
_atom_site_type_symbol
_atom_site_fract_x
_atom_site_fract_y
_atom_site_fract_z
Sr1 Sr 0.214 0.214 0.214
Sr2 Sr 0.786 0.786 0.786
Zr1 Zr 0.000 0.000 0.000
Cu1 Cu 0.418 0.418 0.418
Cu2 Cu 0.582 0.582 0.582
S1 S 0.223 0.755 0.755
S2 S 0.245 0.245 0.777
S3 S 0.245 0.777 0.245
S4 S 0.755 0.223 0.755
S5 S 0.755 0.755 0.223
S6 S 0.777 0.245 0.245
```

ΔE_f (raw) in eV/atom: -1.04
Space group: No. 166
Fermi-level density of states in states/eV per atom: 0.771
Size of the total moment in μB per formula unit: 0.00